Record 1
Here is a relaxed structure of KTaZn from Alexandria via LeMat-Bulk. Energies are from PBE. Values from VASP.

Results
size of the total moment	0.00	Bohr magnetons per cell
total energy	-4.28	eV/atom
space-group type	P1, No. 1
energy above the lowest structure with this stoichiometry	172	meV per atom
ΔH_f (0 K)	0.465	eV/atom
DOS(E_F)	0.969	states/eV per atom

```
&SYSTEM
  ibrav = 0, nat = 6, ntyp = 3
/
ATOMIC_SPECIES
K 39.10 K.upf
Zn 65.41 Zn.upf
Ta 180.95 Ta.upf
ATOMIC_POSITIONS angstrom
K 2.1044 -4.9573 -1.3285
K 6.8973 -5.7546 -0.4323
Zn 0.2902 -2.7708 -3.5845
Zn 0.7772 -1.7681 -1.0432
Ta 8.8284 -8.1960 2.1850
Ta -1.7808 -2.2453 -1.8324
CELL_PARAMETERS angstrom
-1.5944 -2.2161 1.3620
-0.8140 -0.0970 -4.9303
10.5567 -6.7635 1.4821
```



Record 2
Here is a relaxed structure of KTa2Zn from Alexandria via LeMat-Bulk. Energies are from PBE. Values from VASP.

Results
size of the total moment	0.00	Bohr magnetons per cell
total energy	-5.20	eV/atom
space-group type	I-42d, No. 122
ΔH_f (0 K)	1.322	eV/atom
DOS(E_F)	1.176	states/eV per atom

```
&SYSTEM
  ibrav = 0, nat = 8, ntyp = 3
/
ATOMIC_SPECIES
Zn 65.41 Zn.upf
K 39.10 K.upf
Ta 180.95 Ta.upf
ATOMIC_POSITIONS angstrom
Zn 0.0000 0.0000 0.0000
Zn -5.6372 -4.2334 -0.9058
K -0.3356 -1.9860 -2.0051
K -3.8574 -5.9493 0.4959
Ta -3.4036 -2.1914 -1.3950
Ta -1.5115 -3.8930 0.1876
Ta -6.9076 -6.0493 1.2124
Ta -7.1666 -8.2318 -0.8247
CELL_PARAMETERS angstrom
-2.1154 -0.2700 -3.4068
1.4442 -3.7019 -0.6033
-8.8235 -6.2108 3.6002
```



Record 3
Here is a relaxed structure of KTa2Zn from Alexandria via LeMat-Bulk. Energies are from PBE. Values from VASP.

Results
size of the total moment	0.92	Bohr magnetons per cell
total energy	-5.27	eV/atom
space-group type	I-4m2, No. 119
ΔH_f (0 K)	1.252	eV/atom
DOS(E_F)	1.358	states/eV per atom

```
&SYSTEM
  ibrav = 0, nat = 4, ntyp = 3
/
ATOMIC_SPECIES
K 39.10 K.upf
Ta 180.95 Ta.upf
Zn 65.41 Zn.upf
ATOMIC_POSITIONS angstrom
K 2.4395 -0.0356 1.7217
Ta 0.0000 0.0000 0.0000
Ta 0.0456 2.4394 1.7217
Zn 2.4851 2.4037 0.0000
CELL_PARAMETERS angstrom
4.8791 -0.0713 0.0000
0.0911 4.8787 0.0000
-2.4851 -2.4037 3.4434
```



Record 4
Here is a relaxed structure of KTaZn from Alexandria via LeMat-Bulk. Energies are from PBE. Values from VASP.

Results
size of the total moment	0.00	Bohr magnetons per cell
total energy	-4.07	eV/atom
space-group type	Cm, No. 8
energy above the lowest structure with this stoichiometry	381	meV per atom
ΔH_f (0 K)	0.674	eV/atom
DOS(E_F)	0.689	states/eV per atom

```
&SYSTEM
  ibrav = 0, nat = 6, ntyp = 3
/
ATOMIC_SPECIES
K 39.10 K.upf
Zn 65.41 Zn.upf
Ta 180.95 Ta.upf
ATOMIC_POSITIONS angstrom
K -3.8831 -0.2640 0.9646
K -5.4028 2.5838 -0.7266
Zn -1.7755 -3.2950 0.4251
Zn -3.5774 -0.3714 -2.7685
Ta -1.4470 -0.9874 -1.2660
Ta -2.7595 -3.0192 -2.0281
CELL_PARAMETERS angstrom
-3.0955 0.8844 -4.2488
-1.2979 -4.4443 0.0204
-4.4877 3.7449 4.2171
```



Record 5
Here is a relaxed structure of K2TaZn from Alexandria via LeMat-Bulk. Energies are from PBE. Values from VASP.

Results
size of the total moment	0.00	Bohr magnetons per cell
total energy	-2.86	eV/atom
space-group type	Cmmm, No. 65
ΔH_f (0 K)	0.969	eV/atom
DOS(E_F)	0.729	states/eV per atom

```
&SYSTEM
  ibrav = 0, nat = 4, ntyp = 3
/
ATOMIC_SPECIES
K 39.10 K.upf
Ta 180.95 Ta.upf
Zn 65.41 Zn.upf
ATOMIC_POSITIONS angstrom
K 10.8865 -6.0009 0.3378
K 5.5784 -3.0749 0.1731
Ta 2.0394 -2.7492 0.8295
Zn 7.5277 -5.7745 0.9998
CELL_PARAMETERS angstrom
-0.1793 -0.1541 3.0402
-1.2302 -2.3191 -1.5515
10.9766 -6.0505 0.3406
```



Record 6
Here is a relaxed structure of KTaZn from Alexandria via LeMat-Bulk. Energies are from PBE. Values from VASP.

Results
size of the total moment	0.00	Bohr magnetons per cell
total energy	-3.42	eV/atom
space-group type	P6_3/mmc, No. 194
energy above the lowest structure with this stoichiometry	1025	meV per atom
ΔH_f (0 K)	1.318	eV/atom
DOS(E_F)	0.452	states/eV per atom

```
&SYSTEM
  ibrav = 0, nat = 6, ntyp = 3
/
ATOMIC_SPECIES
Zn 65.41 Zn.upf
K 39.10 K.upf
Ta 180.95 Ta.upf
ATOMIC_POSITIONS angstrom
Zn 1.4797 2.5629 4.2502
Zn 2.9594 0.0000 1.4167
K 0.0000 0.0000 0.0000
K 0.0000 0.0000 2.8335
Ta 1.4797 2.5629 1.4167
Ta 2.9594 0.0000 4.2502
CELL_PARAMETERS angstrom
4.4391 -2.5629 0.0000
0.0000 5.1259 0.0000
0.0000 0.0000 5.6670
```



DOS(E_F) of number 4 (KTaZn)? 0.689 states/eV per atom



Repeat the fifth record exactly.
Here is a relaxed structure of K2TaZn from Alexandria via LeMat-Bulk. Energies are from PBE. Values from VASP.

Results
size of the total moment	0.00	Bohr magnetons per cell
total energy	-2.86	eV/atom
space-group type	Cmmm, No. 65
ΔH_f (0 K)	0.969	eV/atom
DOS(E_F)	0.729	states/eV per atom

```
&SYSTEM
  ibrav = 0, nat = 4, ntyp = 3
/
ATOMIC_SPECIES
K 39.10 K.upf
Ta 180.95 Ta.upf
Zn 65.41 Zn.upf
ATOMIC_POSITIONS angstrom
K 10.8865 -6.0009 0.3378
K 5.5784 -3.0749 0.1731
Ta 2.0394 -2.7492 0.8295
Zn 7.5277 -5.7745 0.9998
CELL_PARAMETERS angstrom
-0.1793 -0.1541 3.0402
-1.2302 -2.3191 -1.5515
10.9766 -6.0505 0.3406
```



Which value of total energy does entry 4 give? -4.07 eV/atom